Entry 1:
This record from Alexandria via LeMat-Bulk describes a relaxed structure of Ac2PrDyAs4. The functional is PBE.

Cell lengths 4.3853, 7.5995, 7.5880 Å; angles 70.58, 90.00, 90.00 degrees
Last column: nearest neighbours and their distance in Å.
Sites, in units of the cell vectors:
Ac 0.0000 0.0000 0.0000  6 As 3.20
Ac 0.5000 0.0000 0.5000  6 As 3.15
Pr 0.5000 0.5000 0.0000  6 As 3.05
Dy 0.0000 0.5000 0.5000  6 As 3.00-3.01
As 0.0000 0.7341 0.7502  1 Dy 3.00, 2 Pr 3.05, 3 Ac 3.15-3.20
As 0.0000 0.2659 0.2498  1 Dy 3.00, 2 Pr 3.05, 3 Ac 3.15-3.20
As 0.5000 0.7310 0.2612  2 Dy 3.01, 1 Pr 3.05, 3 Ac 3.15-3.20
As 0.5000 0.2690 0.7388  2 Dy 3.01, 1 Pr 3.05, 3 Ac 3.15-3.20

Output
- ΔH_f (0 K): -1.469 eV per atom
- Volume: 238.5 Å³ per cell
- Symmetry: No. 10



Entry 2:
This record from Alexandria via LeMat-Bulk describes a relaxed structure of KBeN2. The functional is PBE.

Cell lengths 7.0941, 7.0941, 7.0941 Å; angles 31.05, 31.05, 31.05 degrees
Last column: nearest neighbours and their distance in Å.
Sites, in units of the cell vectors:
Be 0.0000 0.0000 0.0000  2 N 1.56
K 0.5000 0.5000 0.5000  6 N 2.85
N 0.9232 0.9232 0.9232  1 Be 1.56
N 0.0768 0.0768 0.0768  1 Be 1.56

Output
- Formation energy (no corrections): 1.0212 eV per atom
- Volume: 84.3 Å³ per cell
- Symmetry: No. 166